1.
## BaNiPt2 (meta-GGA SCAN)

Data for a PBEsol-optimized structure of BaNiPt2.

Cell lengths 7.622, 4.400, 5.929 Å; angles 90.00, 115.30, 90.00 degrees
Space group Cm (No. 8)
Symmetry-distinct sites (fractional):
Ba (0.000, 0.000, 0.000)
Ni (0.324, 0.500, 0.469)
Pt (0.006, 0.500, 0.515)
Pt (0.187, 0.000, 0.559)

Energy of formation (eV/atom): -0.559
Magnetization (Bohr magnetons per cell): 0.0

***

2.
## Ba2NiPt (meta-GGA SCAN)

Data for a PBEsol-optimized structure of Ba2NiPt.

Cell lengths 4.407, 4.407, 10.736 Å; angles 90.00, 90.00, 90.00 degrees
Space group I-4m2 (No. 119)
Symmetry-distinct sites (fractional):
Ba (0.000, 0.000, 0.000)
Ba (0.000, 0.500, 0.250)
Ni (0.000, 0.000, 0.500)
Pt (0.000, 0.500, 0.750)

Energy of formation (eV/atom): -0.004
Magnetization (Bohr magnetons per cell): 0.0

***

3.
## BaNiPt2 (meta-GGA SCAN)

Data for a PBEsol-optimized structure of BaNiPt2.

Cell lengths 3.171, 3.171, 7.422 Å; angles 90.00, 90.00, 90.00 degrees
Space group P4/mmm (No. 123)
Symmetry-distinct sites (fractional):
Ba (0.000, 0.000, 0.000)
Ni (0.000, 0.000, 0.500)
Pt (0.500, 0.500, 0.321)

Energy of formation (eV/atom): -0.067
Magnetization (Bohr magnetons per cell): 1.2